Entry 1:
First-principles (PBE) data for a relaxed structure of Ti3ReAu, as listed in the Alexandria database.

As for the density: 8.192 Mg/m³. The formation energy comes out at 1344 meV/atom. As for the density of states at the Fermi level: 9.54 states/eV/cell. The calculation puts the polymorph energy (0 for the lowest one) at 74.1 kJ/mol of atoms.

The space group is Pm-3m (No. 221) and the conventional cell measures 4.744, 4.744 and 4.744 Å, with angles of 90.00, 90.00 and 90.00 degrees. The inequivalent atoms are Ti at (0.000, 0.000, 0.500), Re at (0.500, 0.500, 0.500) and Au at (0.000, 0.000, 0.000).

Entry 2:
First-principles (PBE) data for a relaxed structure of Ti3Re2Au, as listed in the Alexandria database.

As for the density: 12.465 Mg/m³. The formation energy comes out at -444 meV/atom. As for the density of states at the Fermi level: 4.72 states/eV/cell.

The space group is P4/mmm (No. 123) and the conventional cell measures 3.172, 3.172 and 9.438 Å, with angles of 90.00, 90.00 and 90.00 degrees. The inequivalent atoms are Ti at (0.000, 0.000, 0.000), Ti at (0.000, 0.000, 0.315), Re at (0.500, 0.500, 0.166) and Au at (0.500, 0.500, 0.500).

Entry 3:
First-principles (PBE) data for a relaxed structure of TiReAu2, as listed in the Alexandria database.

As for the density: 14.728 Mg/m³. The formation energy comes out at 412 meV/atom. As for the density of states at the Fermi level: 14.17 states/eV/cell. The calculation puts the polymorph energy (0 for the lowest one) at 10.3 kJ/mol of atoms.

The space group is I-42d (No. 122) and the conventional cell measures 3.788, 3.788 and 19.743 Å, with angles of 90.00, 90.00 and 90.00 degrees. The inequivalent atoms are Ti at (0.000, 0.000, 0.000), Re at (0.000, 0.000, 0.500) and Au at (0.247, 0.250, 0.625).

Entry 4:
First-principles (PBE) data for a relaxed structure of Ti3ReAu, as listed in the Alexandria database.

As for the density: 8.271 Mg/m³. The formation energy comes out at 576 meV/atom. As for the density of states at the Fermi level: 6.51 states/eV/cell. The calculation puts the polymorph energy (0 for the lowest one) at 0.0 kJ/mol of atoms.

The space group is Pm-3m (No. 221) and the conventional cell measures 4.729, 4.729 and 4.729 Å, with angles of 90.00, 90.00 and 90.00 degrees. The inequivalent atoms are Ti at (0.000, 0.000, 0.500), Re at (0.000, 0.000, 0.000) and Au at (0.500, 0.500, 0.500).

Which value of density does entry 2 give?
12.465 Mg/m³

Repeat the first record exactly.
First-principles (PBE) data for a relaxed structure of Ti3ReAu, as listed in the Alexandria database.

As for the density: 8.192 Mg/m³. The formation energy comes out at 1344 meV/atom. As for the density of states at the Fermi level: 9.54 states/eV/cell. The calculation puts the polymorph energy (0 for the lowest one) at 74.1 kJ/mol of atoms.

The space group is Pm-3m (No. 221) and the conventional cell measures 4.744, 4.744 and 4.744 Å, with angles of 90.00, 90.00 and 90.00 degrees. The inequivalent atoms are Ti at (0.000, 0.000, 0.500), Re at (0.500, 0.500, 0.500) and Au at (0.000, 0.000, 0.000).

Which value of density does entry 3 give?
14.728 Mg/m³

Which value of density does entry 4 give?
8.271 Mg/m³